## MgH2Au2 (PBE)

Data for a geometry-optimized MgH2Au2 structure.

The value obtained for the energy above the most stable polymorph in this dataset is 172 meV/atom.

a b c (Å): 3.729 3.729 9.014
angles (deg): 90.00 90.00 90.00
Space group I4/mmm (No. 139)
Symmetry-distinct sites (fractional):
Mg: 0.000 0.000 0.000 x2
H: 0.000 0.500 0.250 x4
Au: 0.000 0.000 0.346 x4


## MgH2Au (PBE)

Data for a geometry-optimized MgH2Au structure.

Its electronic total energy is -2.613 eV per atom.

a b c (Å): 5.612 5.612 5.612
angles (deg): 90.00 90.00 90.00
Space group Fm-3m (No. 225)
Symmetry-distinct sites (fractional):
Mg: 0.000 0.000 0.000 x4
H: 0.250 0.250 0.250 x8
Au: 0.000 0.000 0.500 x4


## MgH2Au2 (PBE)

Data for a geometry-optimized MgH2Au2 structure.

The value obtained for the energy above the most stable polymorph in this dataset is 0 meV/atom.

a b c (Å): 5.878 5.878 3.751
angles (deg): 90.00 90.00 90.00
Space group P4/mbm (No. 127)
Symmetry-distinct sites (fractional):
Mg: 0.000 0.000 0.000 x2
H: 0.173 0.327 0.000 x4
Au: 0.176 0.324 0.500 x4


## Mg2HAu (PBE)

Data for a geometry-optimized Mg2HAu structure.

The value obtained for the energy above the most stable polymorph in this dataset is 185 meV/atom.

a b c (Å): 6.404 6.404 6.404
angles (deg): 90.00 90.00 90.00
Space group Fm-3m (No. 225)
Symmetry-distinct sites (fractional):
Mg: 0.250 0.250 0.250 x8
H: 0.000 0.000 0.000 x4
Au: 0.000 0.000 0.500 x4


## MgHAu3 (PBE)

Data for a geometry-optimized MgHAu3 structure.

The value obtained for the energy above the most stable polymorph in this dataset is 0 meV/atom.

a b c (Å): 4.233 4.233 4.233
angles (deg): 90.00 90.00 90.00
Space group Pm-3m (No. 221)
Symmetry-distinct sites (fractional):
Mg: 0.000 0.000 0.000 x1
H: 0.500 0.500 0.500 x1
Au: 0.000 0.500 0.500 x3


## Mg2HAu (PBE)

Data for a geometry-optimized Mg2HAu structure.

The value obtained for the energy above the most stable polymorph in this dataset is 0 meV/atom.

a b c (Å): 6.037 6.037 6.888
angles (deg): 90.00 90.00 90.00
Space group I-42d (No. 122)
Symmetry-distinct sites (fractional):
Mg: 0.158 0.750 0.125 x8
H: 0.000 0.000 0.000 x4
Au: 0.000 0.000 0.500 x4


no.,theoretical density (g/cm3)
1,11.1
2,8.4
3,10.8
4,6.2
5,13.5
6,6.5